Record 1
The following is a PBE-GGA calculation of a geometry-optimized BaZr2Ti structure, from the Alexandria database.

* excess energy over the best structure of this formula in the dataset: 0.000 eV/atom
* SG: No. 225
* density of states at the Fermi level: 1.501 states/eV per atom
* DFT total energy: -95.41 eV per cell
* crystal system: cubic
* total magnetization: 3.682 μB per formula unit

Lattice parameters (Å, degrees): 7.4709 7.4709 7.4709 90.00 90.00 90.00
Positions (direct):
1 Ba 0.0000 0.0000 0.0000
2 Ba 0.0000 0.5000 0.5000
3 Ba 0.5000 0.0000 0.5000
4 Ba 0.5000 0.5000 0.0000
5 Zr 0.2500 0.2500 0.2500
6 Zr 0.2500 0.2500 0.7500
7 Zr 0.2500 0.7500 0.2500
8 Zr 0.2500 0.7500 0.7500
9 Zr 0.7500 0.2500 0.2500
10 Zr 0.7500 0.2500 0.7500
11 Zr 0.7500 0.7500 0.2500
12 Zr 0.7500 0.7500 0.7500
13 Ti 0.0000 0.0000 0.5000
14 Ti 0.0000 0.5000 0.0000
15 Ti 0.5000 0.0000 0.0000
16 Ti 0.5000 0.5000 0.5000

***

Record 2
The following is a PBE-GGA calculation of a geometry-optimized BaZrTi structure, from the Alexandria database.

* excess energy over the best structure of this formula in the dataset: 0.065 eV/atom
* SG: No. 8
* density of states at the Fermi level: 1.283 states/eV per atom
* DFT total energy: -69.42 eV per cell
* crystal system: monoclinic
* total magnetization: 0.211 μB per formula unit

Lattice parameters (Å, degrees): 8.2015 4.7517 11.3632 90.00 90.36 90.00
Positions (direct):
1 Ba 0.0000 0.0000 0.0000
2 Ba 0.1641 0.5000 0.3388
3 Ba 0.5000 0.5000 0.0000
4 Ba 0.6641 0.0000 0.3388
5 Zr 0.3314 0.0000 0.5531
6 Zr 0.4987 0.5000 0.6729
7 Zr 0.8314 0.5000 0.5531
8 Zr 0.9987 0.0000 0.6729
9 Ti 0.1656 0.5000 0.6862
10 Ti 0.3330 0.0000 0.7849
11 Ti 0.6656 0.0000 0.6862
12 Ti 0.8330 0.5000 0.7849

***

Record 3
The following is a PBE-GGA calculation of a geometry-optimized BaZr3Ti structure, from the Alexandria database.

* excess energy over the best structure of this formula in the dataset: 1.162 eV/atom
* SG: No. 221
* density of states at the Fermi level: 2.325 states/eV per atom
* DFT total energy: -26.08 eV per cell
* crystal system: cubic
* total magnetization: 0.001 μB per formula unit

Lattice parameters (Å, degrees): 5.2424 5.2424 5.2424 90.00 90.00 90.00
Positions (direct):
1 Ba 0.0000 0.0000 0.0000
2 Zr 0.0000 0.0000 0.5000
3 Zr 0.0000 0.5000 0.0000
4 Zr 0.5000 0.0000 0.0000
5 Ti 0.5000 0.5000 0.5000

***

Record 4
The following is a PBE-GGA calculation of a geometry-optimized BaZrTi structure, from the Alexandria database.

* excess energy over the best structure of this formula in the dataset: 0.000 eV/atom
* SG: No. 1
* density of states at the Fermi level: 1.112 states/eV per atom
* DFT total energy: -35.10 eV per cell
* crystal system: triclinic
* total magnetization: 0.000 μB per formula unit

Lattice parameters (Å, degrees): 4.1640 4.1657 12.5280 99.54 90.02 90.00
Positions (direct):
1 Ba 0.0000 0.0000 0.0000
2 Ba 0.4966 0.6475 0.3036
3 Zr 0.4957 0.8609 0.7276
4 Zr 0.9956 0.3609 0.7275
5 Ti 0.4954 0.2782 0.5620
6 Ti 0.9955 0.7785 0.5622

***

Record 5
The following is a PBE-GGA calculation of a geometry-optimized BaZrTi structure, from the Alexandria database.

* excess energy over the best structure of this formula in the dataset: 0.211 eV/atom
* SG: No. 107
* density of states at the Fermi level: 0.836 states/eV per atom
* DFT total energy: -33.83 eV per cell
* crystal system: tetragonal
* total magnetization: 0.000 μB per formula unit

Lattice parameters (Å, degrees): 3.2462 3.2462 16.2619 90.00 90.00 90.00
Positions (direct):
1 Ba 0.0000 0.0000 0.0000
2 Ba 0.5000 0.5000 0.5000
3 Zr 0.0000 0.0000 0.6996
4 Zr 0.5000 0.5000 0.1996
5 Ti 0.0000 0.0000 0.3136
6 Ti 0.5000 0.5000 0.8136

***

Record 6
The following is a PBE-GGA calculation of a geometry-optimized BaZr3Ti structure, from the Alexandria database.

* excess energy over the best structure of this formula in the dataset: 0.000 eV/atom
* SG: No. 221
* density of states at the Fermi level: 1.651 states/eV per atom
* DFT total energy: -31.89 eV per cell
* crystal system: cubic
* total magnetization: 0.000 μB per formula unit

Lattice parameters (Å, degrees): 5.2474 5.2474 5.2474 90.00 90.00 90.00
Positions (direct):
1 Ba 0.0000 0.0000 0.0000
2 Zr 0.0000 0.5000 0.5000
3 Zr 0.5000 0.0000 0.5000
4 Zr 0.5000 0.5000 0.0000
5 Ti 0.5000 0.5000 0.5000

***

Record 7
The following is a PBE-GGA calculation of a geometry-optimized BaZr2Ti structure, from the Alexandria database.

* excess energy over the best structure of this formula in the dataset: 0.546 eV/atom
* SG: No. 141
* density of states at the Fermi level: 0.489 states/eV per atom
* DFT total energy: -86.67 eV per cell
* crystal system: tetragonal
* total magnetization: 0.000 μB per formula unit

Lattice parameters (Å, degrees): 7.3971 7.3971 11.7128 90.00 90.00 90.00
Positions (direct):
1 Ba 0.0000 0.2500 0.3750
2 Ba 0.0000 0.7500 0.6250
3 Ba 0.5000 0.2500 0.1250
4 Ba 0.5000 0.7500 0.8750
5 Zr 0.0000 0.0000 0.0000
6 Zr 0.0000 0.5000 0.0000
7 Zr 0.2500 0.2500 0.7500
8 Zr 0.2500 0.7500 0.2500
9 Zr 0.5000 0.0000 0.5000
10 Zr 0.5000 0.5000 0.5000
11 Zr 0.7500 0.2500 0.7500
12 Zr 0.7500 0.7500 0.2500
13 Ti 0.0000 0.2500 0.8750
14 Ti 0.0000 0.7500 0.1250
15 Ti 0.5000 0.2500 0.6250
16 Ti 0.5000 0.7500 0.3750

***

Record 8
The following is a PBE-GGA calculation of a geometry-optimized BaZrTi structure, from the Alexandria database.

* excess energy over the best structure of this formula in the dataset: 0.049 eV/atom
* SG: No. 8
* density of states at the Fermi level: 1.298 states/eV per atom
* DFT total energy: -69.60 eV per cell
* crystal system: monoclinic
* total magnetization: 0.131 μB per formula unit

Lattice parameters (Å, degrees): 8.2145 4.7547 11.5584 90.00 103.78 90.00
Positions (direct):
1 Ba 0.0000 0.0000 0.0000
2 Ba 0.2230 0.0000 0.6666
3 Ba 0.5000 0.5000 0.0000
4 Ba 0.7230 0.5000 0.6666
5 Zr 0.2841 0.5000 0.3460
6 Zr 0.4074 0.0000 0.2178
7 Zr 0.7841 0.0000 0.3460
8 Zr 0.9074 0.5000 0.2178
9 Ti 0.1164 0.0000 0.3443
10 Ti 0.4858 0.0000 0.4519
11 Ti 0.6164 0.5000 0.3443
12 Ti 0.9858 0.5000 0.4519

***

Record 9
The following is a PBE-GGA calculation of a geometry-optimized BaZrTi structure, from the Alexandria database.

* excess energy over the best structure of this formula in the dataset: 0.048 eV/atom
* SG: No. 160
* density of states at the Fermi level: 1.237 states/eV per atom
* DFT total energy: -34.81 eV per cell
* crystal system: trigonal
* total magnetization: 0.021 μB per formula unit

Lattice parameters (Å, degrees): 11.4576 11.4576 11.4576 23.90 23.90 23.90
Positions (direct):
1 Ba 0.0000 0.0000 0.0000
2 Ba 0.4421 0.4421 0.4421
3 Zr 0.1828 0.1828 0.1828
4 Zr 0.5613 0.5613 0.5613
5 Ti 0.2618 0.2618 0.2618
6 Ti 0.8902 0.8902 0.8902

***

Record 10
The following is a PBE-GGA calculation of a geometry-optimized BaZr2Ti2 structure, from the Alexandria database.

* SG: No. 127
* density of states at the Fermi level: 1.499 states/eV per atom
* DFT total energy: -65.53 eV per cell
* crystal system: tetragonal
* total magnetization: 0.000 μB per formula unit

Lattice parameters (Å, degrees): 8.8233 8.8233 3.2369 90.00 90.00 90.00
Positions (direct):
1 Ba 0.0000 0.0000 0.0000
2 Ba 0.5000 0.5000 0.0000
3 Zr 0.1650 0.3350 0.5000
4 Zr 0.3350 0.8350 0.5000
5 Zr 0.6650 0.1650 0.5000
6 Zr 0.8350 0.6650 0.5000
7 Ti 0.1132 0.6132 0.0000
8 Ti 0.3868 0.1132 0.0000
9 Ti 0.6132 0.8868 0.0000
10 Ti 0.8868 0.3868 0.0000

***

Record 11
The following is a PBE-GGA calculation of a geometry-optimized BaZrTi structure, from the Alexandria database.

* excess energy over the best structure of this formula in the dataset: 0.057 eV/atom
* SG: No. 156
* density of states at the Fermi level: 1.287 states/eV per atom
* DFT total energy: -34.75 eV per cell
* crystal system: trigonal
* total magnetization: 0.262 μB per formula unit

Lattice parameters (Å, degrees): 4.7513 4.7513 11.3210 90.00 90.00 120.00
Positions (direct):
1 Ba 0.0000 0.0000 0.0000
2 Ba 0.3333 0.6667 0.3403
3 Zr 0.3333 0.6667 0.6917
4 Zr 0.6667 0.3333 0.5577
5 Ti 0.0000 0.0000 0.6768
6 Ti 0.6667 0.3333 0.7893

***

Record 12
The following is a PBE-GGA calculation of a geometry-optimized Ba2Tl structure, from the Alexandria database.

* SG: No. 227
* density of states at the Fermi level: 1.192 states/eV per atom
* DFT total energy: -55.44 eV per cell
* crystal system: cubic
* total magnetization: 0.599 μB per formula unit

Lattice parameters (Å, degrees): 11.6516 11.6516 11.6516 60.00 60.00 60.00
Positions (direct):
1 Ba 0.0000 0.0000 0.0000
2 Ba 0.0000 0.0000 0.5000
3 Ba 0.0000 0.5000 0.0000
4 Ba 0.1822 0.1822 0.5678
5 Ba 0.1822 0.5678 0.1822
6 Ba 0.1822 0.5678 0.5678
7 Ba 0.4322 0.4322 0.8178
8 Ba 0.4322 0.8178 0.4322
9 Ba 0.4322 0.8178 0.8178
10 Ba 0.5000 0.0000 0.0000
11 Ba 0.5678 0.1822 0.1822
12 Ba 0.5678 0.1822 0.5678
13 Ba 0.5678 0.5678 0.1822
14 Ba 0.8178 0.4322 0.4322
15 Ba 0.8178 0.4322 0.8178
16 Ba 0.8178 0.8178 0.4322
17 Tl 0.1524 0.7825 0.7825
18 Tl 0.2175 0.2175 0.2175
19 Tl 0.2175 0.2175 0.8476
20 Tl 0.2175 0.8476 0.2175
21 Tl 0.7825 0.1524 0.7825
22 Tl 0.7825 0.7825 0.1524
23 Tl 0.7825 0.7825 0.7825
24 Tl 0.8476 0.2175 0.2175